[1]
# NbV2Mo3 (PBE-GGA, relaxed)
data_NbV2Mo3
_chemical_formula_sum 'Nb1 V2 Mo3'
_symmetry_space_group_name_H-M 'P 4/m m m'
_symmetry_Int_Tables_number 123
_symmetry_space_group_name_Hall '-P 4 2'
_cell_length_a 3.132
_cell_length_b 3.132
_cell_length_c 9.376
_cell_angle_alpha 90.00
_cell_angle_beta 90.00
_cell_angle_gamma 90.00
loop_
_atom_site_label
_atom_site_type_symbol
_atom_site_fract_x
_atom_site_fract_y
_atom_site_fract_z
_atom_site_occupancy
Nb1 Nb 0.000 0.000 0.000 1
V1 V 0.000 0.000 0.337 1
Mo1 Mo 0.500 0.500 0.177 1
Mo2 Mo 0.500 0.500 0.500 1
# **Polymorph energy (0 for the lowest one)**: 0 meV/atom



[2]
# NbV2Mo (PBE-GGA, relaxed)
data_NbV2Mo
_chemical_formula_sum 'Nb1 V2 Mo1'
_symmetry_space_group_name_H-M 'P 4/m m m'
_symmetry_Int_Tables_number 123
_symmetry_space_group_name_Hall '-P 4 2'
_cell_length_a 3.110
_cell_length_b 3.110
_cell_length_c 6.292
_cell_angle_alpha 90.00
_cell_angle_beta 90.00
_cell_angle_gamma 90.00
loop_
_atom_site_label
_atom_site_type_symbol
_atom_site_fract_x
_atom_site_fract_y
_atom_site_fract_z
_atom_site_occupancy
Nb1 Nb 0.000 0.000 0.000 1
V1 V 0.500 0.500 0.261 1
Mo1 Mo 0.000 0.000 0.500 1
# **Polymorph energy (0 for the lowest one)**: 0 meV/atom



[3]
Nb2V6Mo: relaxed, PBE-GGA.

CIF file:
```
data_Nb2V6Mo
_chemical_formula_sum 'Nb4 V12 Mo2'
_symmetry_space_group_name_H-M 'C 1 2/m 1'
_symmetry_Int_Tables_number 12
_cell_length_a 9.370
_cell_length_b 5.292
_cell_length_c 5.586
_cell_angle_alpha 90.00
_cell_angle_beta 93.24
_cell_angle_gamma 90.00
loop_
_symmetry_equiv_pos_as_xyz
'x,y,z'
'-x,-y,-z'
'-x,y,-z'
'x,-y,z'
'x+1/2,y+1/2,z'
'-x+1/2,-y+1/2,-z'
'-x+1/2,y+1/2,-z'
'x+1/2,-y+1/2,z'
loop_
_atom_site_label
_atom_site_type_symbol
_atom_site_fract_x
_atom_site_fract_y
_atom_site_fract_z
_atom_site_occupancy
Nb1 Nb 0.170 0.000 0.110 1
V1 V 0.081 0.237 0.675 1
V2 V 0.189 0.500 0.368 1
Mo1 Mo 0.000 0.500 0.000 1
```



[4]
# NbV6Mo2 (PBE-GGA, relaxed)
data_NbV6Mo2
_chemical_formula_sum 'Nb2 V12 Mo4'
_symmetry_space_group_name_H-M 'C 1 2/m 1'
_symmetry_Int_Tables_number 12
_cell_length_a 8.682
_cell_length_b 5.046
_cell_length_c 6.692
_cell_angle_alpha 90.00
_cell_angle_beta 112.61
_cell_angle_gamma 90.00
loop_
_symmetry_equiv_pos_as_xyz
'x,y,z'
'-x,-y,-z'
'-x,y,-z'
'x,-y,z'
'x+1/2,y+1/2,z'
'-x+1/2,-y+1/2,-z'
'-x+1/2,y+1/2,-z'
'x+1/2,-y+1/2,z'
loop_
_atom_site_label
_atom_site_type_symbol
_atom_site_fract_x
_atom_site_fract_y
_atom_site_fract_z
_atom_site_occupancy
Nb1 Nb 0.000 0.000 0.000 1
V1 V 0.059 0.259 0.699 1
V2 V 0.247 0.000 0.471 1
Mo1 Mo 0.179 0.500 0.113 1
# **Polymorph energy (0 for the lowest one)**: 279 meV/atom



Here are the calculated ΔH_f (0 K) numbers, same order: -0.11, -0.05, 0.20, 0.23 (eV/atom).